VASP calculation (PBE-GGA) on a relaxed KNa2F2 crystal.

Lattice parameters (Å, degrees): 4.4106 4.4106 12.7308 90.00 90.00 90.00
Closest atoms and distances in Å follow each position.
Space group I4/mmm (No. 139)
Symmetry-distinct sites (fractional):
K (0.0000, 0.0000, 0.0000) (multiplicity 2)  10 Na 3.70-4.10, 8 F 3.87
Na (0.0000, 0.0000, 0.2905) (multiplicity 4)  4 F 2.26
F (0.0000, 0.5000, 0.2500) (multiplicity 4)  4 Na 2.26

spin magnetization = 0.0 μB per formula unit
energy relative to the elements, uncorrected = -971 kJ/mol of formula units